#a
Below is a relaxed structure of CoPtSO, with properties calculated at the PBE+U level.

Cell: 3.8301 3.8301 7.6974 Å, 90.00 90.00 90.00°
With the nearest neighbours (Å) after each atom.
Fractional coordinates of all 8 atoms:
Co 0.2500 0.2500 0.2376  1 O 1.94
Co 0.7500 0.7500 0.7624  1 O 1.94
Pt 0.2500 0.7500 0.0000  4 Co 2.65, 4 Pt 2.71
Pt 0.7500 0.2500 0.0000  4 Co 2.65, 4 Pt 2.71
S 0.2500 0.2500 0.6896  1 O 1.54
S 0.7500 0.7500 0.3104  1 O 1.54
O 0.2500 0.2500 0.4895  1 S 1.54
O 0.7500 0.7500 0.5105  1 S 1.54

Theoretical density in Mg/m³: 8.88

#b
Below is a relaxed structure of CoPtSO, with properties calculated at the PBE+U level.

Cell: 4.8394 6.9530 7.6097 Å, 90.00 90.00 90.00°
With the nearest neighbours (Å) after each atom.
Fractional coordinates of all 16 atoms:
Co 0.1739 0.1384 0.0870  2 O 1.89-1.91
Co 0.3261 0.8616 0.5870  2 O 1.89-1.91
Co 0.6739 0.3616 0.9130  2 O 1.89-1.91
Co 0.8261 0.6384 0.4130  2 O 1.89-1.91
Pt 0.0644 0.2365 0.6075  1 O 2.06, 2 S 2.27-2.30
Pt 0.4356 0.7635 0.1075  1 O 2.06, 2 S 2.27-2.30
Pt 0.5644 0.2635 0.3925  1 O 2.06, 2 S 2.27-2.30
Pt 0.9356 0.7365 0.8925  1 O 2.06, 2 S 2.27-2.30
S 0.0166 0.3331 0.3242  2 Pt 2.27-2.30, 2 Co 2.38-2.41
S 0.4834 0.6669 0.8242  2 Pt 2.27-2.30, 2 Co 2.38-2.41
S 0.5166 0.1669 0.6758  2 Pt 2.27-2.30, 2 Co 2.38-2.41
S 0.9834 0.8331 0.1758  2 Pt 2.27-2.30, 2 Co 2.38-2.41
O 0.0184 0.2343 0.8764  2 Co 1.89-1.91, 1 Pt 2.06
O 0.4816 0.7657 0.3764  2 Co 1.89-1.91, 1 Pt 2.06
O 0.5184 0.2657 0.1236  2 Co 1.89-1.91, 1 Pt 2.06
O 0.9816 0.7343 0.6236  2 Co 1.89-1.91, 1 Pt 2.06

Theoretical density in Mg/m³: 7.84

Each structure's energy above the most stable one, in eV/atom: #a 0.000; #b 0.171.